NaY2Hf (PBE, relaxed); DFT total energy = -22.299 eV/cell; DOS(E_F) = 1.740 states/eV/atom; crystal system = cubic; formation energy from the elements = 0.475 eV per atom
1.0
5.110 -0.716 1.719
0.972 -2.852 4.528
2.315 -4.911 -0.323
Y Na Hf
2 1 1
Cartesian
2.099 -2.120 1.481
6.298 -6.359 4.443
0.000 0.000 0.000
4.199 -4.239 2.962